1.
First-principles (GGA-PBE) data for an optimized crystal structure of LiInBiIr, as listed in Alexandria via LeMat-Bulk.

```
4
Lattice="-1.3425 3.2236 3.2472 -4.2930 -0.3260 2.0500 -0.3626 -1.2462 4.5885" Properties=species:S:1:pos:R:3 pbc="T T T"
Ir -2.9990 0.8257 4.9429
Li 0.0000 0.0000 0.0000
Bi -4.4986 1.2386 7.4143
In -1.4995 0.4129 2.4714
```

Its crystal system is cubic. The value obtained for the total energy is -0.3274 Ry per atom. The calculation puts the formation energy at -0.11 eV/atom. The calculation puts the total magnetization at 0.0 μB per formula unit.

***

2.
First-principles (GGA-PBE) data for an optimized crystal structure of MgInBi2Ir, as listed in Alexandria via LeMat-Bulk.

```
5
Lattice="-2.9297 -0.5905 4.4118 2.4893 -4.3686 1.0683 3.6268 2.7454 2.7758" Properties=species:S:1:pos:R:3 pbc="T T T"
Mg 0.0000 0.0000 0.0000
Ir 1.5932 -1.1068 4.1280
Bi 1.8134 1.3727 1.3879
Bi -1.4648 -0.2953 2.2059
In 1.2446 -2.1843 0.5341
```

Its crystal system is tetragonal. The value obtained for the total energy is -0.2218 Ry per atom. The calculation puts the formation energy at 1.17 eV/atom. The calculation puts the total magnetization at 0.0 μB per formula unit.

***

3.
First-principles (GGA-PBE) data for an optimized crystal structure of In2BiIrO8, as listed in Alexandria via LeMat-Bulk.

```
12
Lattice="-1.6251 -2.9211 -3.6030 0.5175 -3.8023 3.0545 -6.2171 0.8517 2.1136" Properties=species:S:1:pos:R:3 pbc="T T T"
In -5.2570 -2.7172 1.3246
In -2.0678 -3.1545 0.2404
Bi -3.1086 0.4258 1.0568
Ir 0.0000 0.0000 0.0000
O -1.2825 -3.4413 2.3132
O -7.0062 -3.9473 1.7262
O -2.6415 -2.8959 -1.9043
O -6.0423 -2.4304 -0.7481
O -0.3186 -1.9244 -0.1611
O -4.6833 -2.9758 3.4693
O -3.8703 -4.2110 0.6852
O -3.4545 -1.6607 0.8798
```

The value obtained for the raw formation energy is -1.0935 eV/atom. Its crystal system is monoclinic. The value obtained for the total energy is -0.4349 Ry per atom. The calculation puts the total magnetization at 1.7 μB per formula unit.

***

4.
First-principles (GGA-PBE) data for an optimized crystal structure of InBiIrO6, as listed in Alexandria via LeMat-Bulk.

```
18
Lattice="5.4906 0.0000 0.0000 -2.7453 4.7550 0.0000 0.0000 0.0000 9.4405" Properties=species:S:1:pos:R:3 pbc="T T T"
In 0.0000 3.1700 2.3601
In 2.7453 1.5850 7.0804
Bi 0.0000 0.0000 0.0000
Bi 0.0000 0.0000 4.7203
Ir 2.7453 1.5850 2.3601
Ir 0.0000 3.1700 7.0804
O 1.8789 2.9600 1.2664
O 4.3693 1.6478 1.2664
O -0.7576 4.6078 5.9867
O -1.6240 3.1072 8.1741
O 1.1213 1.6478 3.4538
O 3.6117 2.9600 3.4538
O 0.7576 4.6078 8.1741
O 3.5029 0.1471 3.4538
O -0.8664 1.7950 5.9867
O 1.9877 0.1471 1.2664
O 1.6240 3.1072 5.9867
O 0.8664 1.7950 8.1741
```

The value obtained for the raw formation energy is -1.0137 eV/atom. Its crystal system is trigonal. The value obtained for the total energy is -0.4439 Ry per atom. The calculation puts the total magnetization at 0.5 μB per formula unit.